NbCo3 | GGA-PBEsol | optimized geometry

* SG: Pm-3m (221)
* total magnetization: 0.00 μB per formula unit
* mass density: 9651 kg/m3
* uncorrected energy: -34.73 eV/f.u.

POSCAR file:
```
NbCo3
1.0
3.593 0.000 0.000
0.000 3.593 0.000
0.000 0.000 3.593
Nb Co
1 3
Cartesian
0.000 0.000 0.000
0.000 1.797 1.797
1.797 0.000 1.797
1.797 1.797 0.000
```



NbCo3 | GGA-PBEsol | optimized geometry

* SG: P6_3/mmc (194)
* total magnetization: 0.00 μB per formula unit
* mass density: 9658 kg/m3
* uncorrected energy: -34.80 eV/f.u.

POSCAR file:
```
NbCo3
1.0
5.117 0.000 0.000
-2.558 4.431 0.000
0.000 0.000 4.090
Nb Co
2 6
Cartesian
0.000 2.954 1.023
2.558 1.477 3.068
0.000 1.391 3.068
-1.353 3.735 3.068
1.205 0.696 1.023
1.353 3.735 3.068
3.912 0.696 1.023
2.558 3.040 1.023
```



NbCo3 | GGA-PBEsol | optimized geometry

* SG: P6_3mc (186)
* total magnetization: 1.79 μB per formula unit
* mass density: 9442 kg/m3
* uncorrected energy: -34.52 eV/f.u.

POSCAR file:
```
NbCo3
1.0
4.648 0.000 0.000
-2.324 4.025 0.000
0.000 0.000 15.212
Nb Co
6 18
Cartesian
0.000 0.000 0.000
0.000 0.000 2.876
0.000 0.000 7.606
0.000 0.000 10.482
0.000 2.683 6.353
2.324 1.342 13.959
-1.160 2.014 1.366
0.000 1.330 12.749
-1.173 3.360 12.749
1.151 0.665 5.143
0.000 2.683 3.609
0.000 2.683 10.889
0.000 2.683 14.667
2.324 0.002 8.972
1.160 2.014 1.366
1.164 2.011 8.972
0.000 4.023 1.366
2.324 1.342 3.283
2.324 1.342 7.061
2.324 1.342 11.215
1.173 3.360 12.749
3.496 0.665 5.143
2.324 2.696 5.143
3.484 2.011 8.972
```



NbCoNi2Se | GGA-PBEsol | optimized geometry

* SG: P4/mmm (123)
* raw formation energy: 650.1 meV per atom
* total magnetization: 1.15 μB per formula unit
* mass density: 7712 kg/m3
* uncorrected energy: -31.47 eV/f.u.

POSCAR file:
```
NbCoNi2Se
1.0
4.226 0.000 0.000
0.000 4.226 0.000
0.000 0.000 4.197
Nb Co Ni Se
1 1 2 1
Cartesian
0.000 0.000 0.000
2.113 2.113 0.000
0.000 2.113 2.099
2.113 0.000 2.099
2.113 2.113 2.099
```



Nb2CoO6 | GGA-PBEsol | optimized geometry

* SG: C2/m (12)
* raw formation energy: -2070.4 meV per atom
* total magnetization: 3.00 μB per formula unit
* mass density: 5541 kg/m3
* uncorrected energy: -79.51 eV/f.u.

POSCAR file:
```
Nb2CoO6
1.0
4.510 -3.357 0.000
4.510 3.357 0.000
-2.886 0.000 6.745
Nb Co O
4 2 12
Cartesian
0.000 0.000 0.000
-1.443 0.000 3.372
0.609 0.000 5.524
5.524 0.000 1.221
2.128 0.000 2.319
4.006 0.000 4.426
2.043 2.023 2.263
0.024 0.000 1.999
1.971 0.000 0.202
4.510 1.320 0.000
4.091 2.023 4.482
2.065 0.000 4.295
4.069 0.000 2.450
2.043 -2.023 2.263
4.510 -1.320 0.000
4.163 0.000 6.543
6.110 0.000 4.746
4.091 -2.023 4.482
```



Nb2CoO6 | GGA-PBEsol | optimized geometry

* SG: P4_2/mnm (136)
* raw formation energy: -2089.7 meV per atom
* total magnetization: 3.00 μB per formula unit
* mass density: 5538 kg/m3
* uncorrected energy: -79.68 eV/f.u.

POSCAR file:
```
Nb2CoO6
1.0
4.771 0.000 0.000
0.000 4.771 0.000
0.000 0.000 8.979
Nb Co O
4 2 12
Cartesian
0.000 0.000 1.528
0.000 0.000 7.451
2.385 2.385 2.962
2.385 2.385 6.017
0.000 0.000 4.489
2.385 2.385 0.000
0.935 0.935 0.000
0.970 0.970 2.974
0.970 0.970 6.005
1.416 3.355 1.515
1.416 3.355 7.463
1.451 3.320 4.489
3.320 1.451 4.489
3.355 1.416 1.515
3.355 1.416 7.463
3.801 3.801 2.974
3.801 3.801 6.005
3.836 3.836 0.000
```



Nb2CoO6 | GGA-PBEsol | optimized geometry

* SG: Pbcn (60)
* raw formation energy: -2112.1 meV per atom
* total magnetization: 3.00 μB per formula unit
* mass density: 5632 kg/m3
* uncorrected energy: -79.89 eV/f.u.

POSCAR file:
```
Nb2CoO6
1.0
14.099 0.000 0.000
0.000 5.694 0.000
0.000 0.000 5.007
Nb Co O
8 4 24
Cartesian
2.236 1.029 1.181
2.236 4.665 3.684
4.814 1.818 3.684
4.814 3.875 1.181
9.285 1.818 3.826
9.285 3.875 1.323
11.863 1.029 1.323
11.863 4.665 3.826
0.000 2.033 3.755
0.000 3.660 1.252
7.049 0.814 1.252
7.049 4.880 3.755
1.090 2.175 2.077
1.090 3.518 4.580
1.306 0.640 4.535
1.306 5.054 2.031
3.444 0.674 2.838
3.444 5.019 0.334
3.605 2.172 0.334
3.605 3.521 2.838
5.744 2.207 2.031
5.744 3.487 4.535
5.959 0.672 4.580
5.959 5.022 2.077
8.139 0.672 2.930
8.139 5.022 0.426
8.355 2.207 0.472
8.355 3.487 2.975
10.494 2.172 2.169
10.494 3.521 4.672
10.654 0.674 4.672
10.654 5.019 2.169
12.793 0.640 2.975
12.793 5.054 0.472
13.008 2.175 0.426
13.008 3.518 2.930
```



Nb2Co4O9 | GGA-PBEsol | optimized geometry

* SG: P-3c1 (165)
* raw formation energy: -1494.2 meV per atom
* total magnetization: 11.95 μB per formula unit
* mass density: 6015 kg/m3
* uncorrected energy: -122.25 eV/f.u.

POSCAR file:
```
Nb2Co4O9
1.0
5.031 0.000 0.000
-2.515 4.357 0.000
0.000 0.000 14.247
Nb Co O
4 8 18
Cartesian
0.000 0.000 2.064
0.000 0.000 5.059
0.000 0.000 9.188
0.000 0.000 12.182
0.000 2.905 0.099
0.000 2.905 4.517
0.000 2.905 7.223
0.000 2.905 11.640
2.515 1.452 2.607
2.515 1.452 7.024
2.515 1.452 9.730
2.515 1.452 14.148
-0.767 1.329 3.562
-1.748 3.028 10.685
-0.807 1.503 13.084
-1.617 2.906 5.961
1.534 0.000 3.562
0.767 1.329 10.685
0.807 1.503 5.961
-0.810 4.304 13.084
1.705 0.052 8.286
0.898 1.451 1.162
1.617 2.906 13.084
0.810 4.304 5.961
3.325 0.052 1.162
1.708 2.854 8.286
3.497 0.000 10.685
1.748 3.028 3.562
4.133 1.451 8.286
3.323 2.854 1.162
```



Nb2CoPb3O9 | GGA-PBEsol | optimized geometry

* SG: P-3m1 (164)
* raw formation energy: -1715.7 meV per atom
* total magnetization: 0.99 μB per formula unit
* mass density: 8871 kg/m3
* uncorrected energy: -114.36 eV/f.u.

POSCAR file:
```
Nb2CoPb3O9
1.0
5.622 0.000 0.000
-2.811 4.868 0.000
0.000 0.000 6.910
Nb Co Pb O
2 1 3 9
Cartesian
0.000 3.246 1.280
2.811 1.623 5.630
0.000 0.000 3.455
0.000 0.000 0.000
0.000 3.246 4.602
2.811 1.623 2.307
-1.405 2.434 0.000
0.000 1.595 2.319
-1.430 4.071 2.319
1.381 0.797 4.591
2.811 0.000 0.000
1.405 2.434 0.000
1.430 4.071 2.319
4.240 0.797 4.591
2.811 3.274 4.591
```



Sr2NbCoO6 | GGA-PBEsol | optimized geometry

* SG: Fm-3m (225)
* raw formation energy: -2460.6 meV per atom
* total magnetization: 0.00 μB per formula unit
* mass density: 6041 kg/m3
* uncorrected energy: -78.34 eV/f.u.

POSCAR file:
```
Sr2NbCoO6
1.0
0.000 3.874 3.874
3.874 0.000 3.874
3.874 3.874 0.000
Sr Nb Co O
2 1 1 6
Cartesian
1.937 1.937 1.937
5.811 5.811 5.811
0.000 0.000 0.000
3.874 3.874 3.874
3.874 3.874 1.988
3.874 1.988 3.874
5.760 3.874 3.874
1.988 3.874 3.874
3.874 5.760 3.874
3.874 3.874 5.760
```



Sr4NbCoO8 | GGA-PBEsol | optimized geometry

* SG: Cmmm (65)
* raw formation energy: -2580.6 meV per atom
* total magnetization: 0.10 μB per formula unit
* mass density: 5642 kg/m3
* uncorrected energy: -104.04 eV/f.u.

POSCAR file:
```
Sr4NbCoO8
1.0
2.714 -6.321 0.000
2.714 6.321 0.000
0.000 0.000 5.407
Sr Nb Co O
4 1 1 8
Cartesian
2.714 4.498 0.000
2.714 1.882 2.703
2.714 -1.882 2.703
2.714 -4.498 0.000
2.714 0.000 0.000
0.000 0.000 2.703
2.714 4.326 2.703
1.322 0.000 1.389
1.322 0.000 4.018
2.714 2.050 0.000
2.714 -2.050 0.000
4.106 0.000 1.389
4.106 0.000 4.018
2.714 -4.326 2.703
```



YNbCoO2 | GGA-PBEsol | optimized geometry

* SG: P4/mmm (123)
* raw formation energy: -1342.4 meV per atom
* total magnetization: 0.00 μB per formula unit
* mass density: 6131 kg/m3
* uncorrected energy: -42.59 eV/f.u.

POSCAR file:
```
YNbCoO2
1.0
3.987 0.000 0.000
0.000 3.987 0.000
0.000 0.000 4.647
Y Nb Co O
1 1 1 2
Cartesian
0.000 0.000 0.000
1.994 1.994 2.323
1.994 1.994 0.000
0.000 1.994 2.323
1.994 0.000 2.323
```



NbCoOs3 | GGA-PBEsol | optimized geometry

* SG: Pm-3m (221)
* total magnetization: 3.84 μB per formula unit
* mass density: 11852 kg/m3
* uncorrected energy: -41.28 eV/f.u.

POSCAR file:
```
NbCoOs3
1.0
4.661 0.000 0.000
0.000 4.661 0.000
0.000 0.000 4.661
Nb Co Os
1 1 3
Cartesian
0.000 0.000 0.000
2.330 2.330 2.330
0.000 0.000 2.330
0.000 2.330 0.000
2.330 0.000 0.000
```



Nb2Co2Os | GGA-PBEsol | optimized geometry

* SG: P4/mbm (127)
* total magnetization: 0.00 μB per formula unit
* mass density: 11900 kg/m3
* uncorrected energy: -49.95 eV/f.u.

POSCAR file:
```
Nb2Co2Os
1.0
6.621 0.000 0.000
0.000 6.621 0.000
0.000 0.000 3.144
Nb Co Os
4 4 2
Cartesian
1.191 2.119 0.000
2.119 5.430 0.000
4.502 1.191 0.000
5.430 4.502 0.000
0.810 4.120 1.572
2.501 0.810 1.572
4.120 5.812 1.572
5.812 2.501 1.572
0.000 0.000 1.572
3.311 3.311 1.572
```



RbNbCoOs2 | GGA-PBEsol | optimized geometry

* SG: P4/mmm (123)
* total magnetization: 2.40 μB per formula unit
* mass density: 8486 kg/m3
* uncorrected energy: -30.79 eV/f.u.

POSCAR file:
```
RbNbCoOs2
1.0
4.728 0.000 0.000
0.000 4.728 0.000
0.000 0.000 5.409
Rb Nb Co Os
1 1 1 2
Cartesian
0.000 0.000 0.000
0.000 0.000 2.704
2.364 2.364 0.000
0.000 2.364 2.704
2.364 0.000 2.704
```



Nb2Co4P3 | GGA-PBEsol | optimized geometry

* SG: P-62m (189)
* total magnetization: 1.60 μB per formula unit
* mass density: 7960 kg/m3
* uncorrected energy: -77.75 eV/f.u.

POSCAR file:
```
Nb2Co4P3
1.0
11.784 0.000 0.000
-5.892 10.206 0.000
0.000 0.000 3.570
Nb Co P
8 16 12
Cartesian
-1.043 1.806 0.000
-3.258 5.643 1.785
2.085 0.000 0.000
0.000 6.804 1.785
2.634 4.562 1.785
6.516 0.000 1.785
5.892 3.402 1.785
4.850 8.400 0.000
0.000 0.000 1.785
-4.274 7.402 0.000
-1.325 4.933 0.000
-2.658 8.253 1.785
0.074 3.777 1.785
1.618 2.803 0.000
-0.957 8.887 0.000
3.234 1.953 1.785
4.935 1.319 0.000
2.282 6.591 0.000
2.584 8.381 1.785
4.567 5.272 0.000
8.548 0.000 0.000
8.476 1.825 1.785
5.966 6.428 1.785
8.175 3.614 0.000
-2.068 3.583 1.785
-4.860 8.418 1.785
-2.036 7.027 0.000
1.032 1.787 1.785
0.825 4.929 0.000
4.137 0.000 1.785
3.856 3.179 0.000
1.211 8.455 0.000
3.824 6.623 1.785
7.103 1.750 0.000
9.721 0.000 1.785
6.717 5.276 0.000
```



Nb2Co12P7 | GGA-PBEsol | optimized geometry

* SG: P-6 (174)
* total magnetization: 2.97 μB per formula unit
* mass density: 8010 kg/m3
* uncorrected energy: -170.75 eV/f.u.

POSCAR file:
```
Nb2Co12P7
1.0
8.732 0.000 0.000
-4.366 7.563 0.000
0.000 0.000 3.484
Nb Co P
2 12 7
Cartesian
0.000 0.000 0.000
0.000 5.042 1.742
-0.798 2.043 1.742
-2.234 5.465 0.000
-2.198 7.232 1.742
0.751 2.895 0.000
3.048 1.575 0.000
2.421 3.414 1.742
4.565 0.390 1.742
1.484 6.765 0.000
2.996 5.850 1.742
4.206 4.135 0.000
5.845 1.853 0.000
6.113 3.758 1.742
-1.335 3.421 0.000
1.312 1.602 1.742
-0.736 7.008 0.000
2.071 4.696 0.000
4.366 2.521 1.742
6.689 0.336 1.742
5.097 5.625 1.742
```



Nb2CoPPb | GGA-PBEsol | optimized geometry

* SG: P4/mmm (123)
* total magnetization: 0.00 μB per formula unit
* mass density: 8822 kg/m3
* uncorrected energy: -37.36 eV/f.u.

POSCAR file:
```
Nb2CoPPb
1.0
4.789 0.000 0.000
0.000 4.789 0.000
0.000 0.000 3.964
Nb Co P Pb
2 1 1 1
Cartesian
0.000 2.394 0.000
2.394 0.000 0.000
0.000 0.000 0.000
0.000 0.000 1.982
2.394 2.394 1.982
```